Record 1
Cs3Ac2PrS6: optimized geometry, PBE.

Computed properties:
Final energy in eV per cell: -62.49
SG: No. 12
Formation energy from raw total energies in meV per atom: -1847

Unit cell a=7.6628 b=7.6628 c=8.5070 alpha=98.63 beta=98.63 gamma=120.01
Last column: nearest neighbours and their distance in Å.
Sites, in units of the cell vectors:
S1 0.2606 0.2606 0.8097  1 Pr 2.92, 2 Ac 3.02
S2 0.3874 0.0634 0.1901  1 Pr 2.92, 2 Ac 3.01-3.02
S3 0.6126 0.9366 0.8099  1 Pr 2.92, 2 Ac 3.01-3.02
S4 0.9366 0.6126 0.8099  1 Pr 2.92, 2 Ac 3.01-3.02
S5 0.7394 0.7394 0.1903  1 Pr 2.92, 2 Ac 3.02
S6 0.0634 0.3874 0.1901  1 Pr 2.92, 2 Ac 3.01-3.02
Cs1 0.1667 0.8333 0.5000  6 S 3.56-3.64
Cs2 0.8333 0.1667 0.5000  6 S 3.56-3.64
Cs3 0.5000 0.5000 0.5000  6 S 3.56-3.63
Ac1 0.6667 0.3333 0.0000  6 S 3.01-3.02
Ac2 0.3333 0.6667 0.0000  6 S 3.01-3.02
Pr1 0.0000 0.0000 0.0000  6 S 2.92

***

Record 2
Cs3Ac2PrSe6: optimized geometry, PBE.

Computed properties:
Final energy in eV per cell: -57.80
SG: No. 12
Formation energy from raw total energies in meV per atom: -1778

Unit cell a=7.9214 b=7.9214 c=8.8320 alpha=98.60 beta=98.60 gamma=119.99
Last column: nearest neighbours and their distance in Å.
Sites, in units of the cell vectors:
Cs1 0.8326 0.1674 0.5000  6 Se 3.66-3.73
Cs2 0.5000 0.5000 0.5000  6 Se 3.66-3.74
Cs3 0.1674 0.8326 0.5000  6 Se 3.66-3.73
Se1 0.3890 0.0648 0.1944  1 Pr 3.05, 2 Ac 3.14
Se2 0.6110 0.9352 0.8056  1 Pr 3.05, 2 Ac 3.14
Se3 0.7408 0.7408 0.1947  1 Pr 3.05, 2 Ac 3.14
Se4 0.2592 0.2592 0.8053  1 Pr 3.05, 2 Ac 3.14
Se5 0.9352 0.6110 0.8056  1 Pr 3.05, 2 Ac 3.14
Se6 0.0648 0.3890 0.1944  1 Pr 3.05, 2 Ac 3.14
Ac1 0.6666 0.3334 0.0000  6 Se 3.14
Ac2 0.3334 0.6666 0.0000  6 Se 3.14
Pr1 0.0000 0.0000 0.0000  6 Se 3.05

***

Record 3
Cs2AcPrSe4: optimized geometry, PBE.

Computed properties:
Final energy in eV per cell: -38.64
SG: No. 10
Formation energy from raw total energies in meV per atom: -1763

Unit cell a=4.5386 b=7.8659 c=8.8222 alpha=107.23 beta=90.00 gamma=90.00
Last column: nearest neighbours and their distance in Å.
Sites, in units of the cell vectors:
Se1 0.5000 0.7596 0.8046  1 Pr 3.04, 2 Ac 3.13
Se2 0.0000 0.2775 0.8079  2 Pr 3.05, 1 Ac 3.13
Se3 0.0000 0.7225 0.1921  2 Pr 3.05, 1 Ac 3.13
Se4 0.5000 0.2404 0.1954  1 Pr 3.04, 2 Ac 3.13
Ac1 0.0000 0.0000 0.0000  6 Se 3.13
Pr1 0.5000 0.5000 0.0000  6 Se 3.04-3.05
Cs1 0.5000 0.0000 0.5000  6 Se 3.71-3.72
Cs2 0.0000 0.5000 0.5000  6 Se 3.64-3.65

***

Record 4
Cs3AcPr2Te6: optimized geometry, PBE.

Computed properties:
Final energy in eV per cell: -52.42
SG: No. 12
Formation energy from raw total energies in meV per atom: -1446

Unit cell a=8.2713 b=8.2713 c=9.3842 alpha=98.45 beta=98.45 gamma=120.00
Last column: nearest neighbours and their distance in Å.
Sites, in units of the cell vectors:
Te1 0.0661 0.4086 0.1982  2 Pr 3.25, 1 Ac 3.34
Te2 0.4086 0.0661 0.1982  2 Pr 3.25, 1 Ac 3.34
Te3 0.9339 0.5914 0.8018  2 Pr 3.25, 1 Ac 3.34
Te4 0.5914 0.9339 0.8018  2 Pr 3.25, 1 Ac 3.34
Te5 0.7233 0.7233 0.1976  2 Pr 3.25, 1 Ac 3.34
Te6 0.2767 0.2767 0.8024  2 Pr 3.25, 1 Ac 3.34
Cs1 0.5000 0.5000 0.5000  6 Te 3.81-3.89
Cs2 0.1651 0.8349 0.5000  6 Te 3.82-3.89
Cs3 0.8349 0.1651 0.5000  6 Te 3.82-3.89
Pr1 0.3332 0.6668 0.0000  6 Te 3.25
Pr2 0.6668 0.3332 0.0000  6 Te 3.25
Ac1 0.0000 0.0000 0.0000  6 Te 3.34

***

Record 5
Cs4AcPr3Te8: optimized geometry, PBE.

Computed properties:
Final energy in eV per cell: -70.00
SG: No. 166
Formation energy from raw total energies in meV per atom: -1438

Unit cell a=9.5196 b=10.5184 c=9.5197 alpha=116.93 beta=120.00 gamma=90.00
Last column: nearest neighbours and their distance in Å.
Sites, in units of the cell vectors:
Te1 0.2683 0.3052 0.5367  3 Pr 3.26
Te2 0.7629 0.3017 0.5258  2 Pr 3.24, 1 Ac 3.33
Te3 0.7242 0.6983 0.9614  2 Pr 3.24, 1 Ac 3.33
Te4 0.2758 0.3017 0.0386  2 Pr 3.24, 1 Ac 3.33
Te5 0.2371 0.6983 0.9614  2 Pr 3.24, 1 Ac 3.33
Te6 0.7317 0.6948 0.4633  3 Pr 3.26
Te7 0.2371 0.6983 0.4742  2 Pr 3.24, 1 Ac 3.33
Te8 0.7629 0.3017 0.0386  2 Pr 3.24, 1 Ac 3.33
Cs1 0.0000 0.0000 0.5000  6 Te 3.88
Cs2 0.0000 0.0000 0.0000  6 Te 3.88
Cs3 0.5000 0.0000 0.5000  6 Te 3.88
Cs4 0.5000 0.0000 0.0000  6 Te 3.80-3.81
Pr1 0.0000 0.5000 0.5000  6 Te 3.24-3.26
Pr2 0.5000 0.5000 0.5000  6 Te 3.24-3.26
Pr3 0.5000 0.5000 0.0000  6 Te 3.24-3.26
Ac1 0.0000 0.5000 0.0000  6 Te 3.33

***

Record 6
Cs4Ac3PrTe8: optimized geometry, PBE.

Computed properties:
Final energy in eV per cell: -69.35
SG: No. 166
Formation energy from raw total energies in meV per atom: -1481

Unit cell a=9.7189 b=10.5922 c=9.7194 alpha=117.33 beta=120.00 gamma=90.00
Last column: nearest neighbours and their distance in Å.
Sites, in units of the cell vectors:
Te1 0.2654 0.2964 0.5308  3 Ac 3.35
Te2 0.2583 0.3007 0.0294  1 Pr 3.27, 2 Ac 3.36
Te3 0.2289 0.6993 0.9706  1 Pr 3.27, 2 Ac 3.36
Te4 0.2289 0.6993 0.4578  1 Pr 3.27, 2 Ac 3.36
Te5 0.7346 0.7036 0.4692  3 Ac 3.35
Te6 0.7417 0.6993 0.9706  1 Pr 3.27, 2 Ac 3.36
Te7 0.7711 0.3007 0.0294  1 Pr 3.27, 2 Ac 3.36
Te8 0.7711 0.3007 0.5422  1 Pr 3.27, 2 Ac 3.36
Cs1 0.5000 0.0000 0.0000  6 Te 3.94-3.95
Cs2 0.0000 0.0000 0.0000  6 Te 3.87
Cs3 0.5000 0.0000 0.5000  6 Te 3.87
Cs4 0.0000 0.0000 0.5000  6 Te 3.87
Ac1 0.0000 0.5000 0.5000  6 Te 3.35-3.36
Ac2 0.5000 0.5000 0.0000  6 Te 3.35-3.36
Ac3 0.5000 0.5000 0.5000  6 Te 3.35-3.36
Pr1 0.0000 0.5000 0.0000  6 Te 3.27